# 1
# Nd3Er4Se8

A relaxed Nd3Er4Se8 crystal (PBE, Alexandria).

Cell: 8.238 8.238 8.211 Å, 119.84 119.84 90.05°
Sites, in units of the cell vectors:
Nd 0.000 0.000 0.000
Nd 0.000 0.500 0.000
Nd 0.500 0.000 0.000
Er 0.000 0.500 0.500
Er 0.500 0.000 0.500
Er 0.500 0.500 0.000
Er 0.500 0.500 0.500
Se 0.251 0.749 0.500
Se 0.256 0.256 0.511
Se 0.256 0.744 0.000
Se 0.258 0.258 0.004
Se 0.742 0.742 0.996
Se 0.744 0.256 0.000
Se 0.744 0.744 0.489
Se 0.749 0.251 0.500

Summary:
Spin magnetization (μB/f.u.): 0.00
Volume (Å³ per atom): 26.39
Raw formation energy (eV/atom): -1.8176
N(E_F) (states/eV/cell): 6.56


# 2
# LaAgC2

A relaxed LaAgC2 crystal (PBE, Alexandria).

Cell: 4.414 4.414 4.414 Å, 60.00 60.00 60.00°
Sites, in units of the cell vectors:
La 0.000 0.000 0.000
Ag 0.500 0.500 0.500
C 0.250 0.250 0.250
C 0.750 0.750 0.750

Summary:
Spin magnetization (μB/f.u.): 0.00
Volume (Å³ per atom): 15.21
Calculated formation energy (eV/atom): 1.28
N(E_F) (states/eV/cell): 2.68


# 3
# AcPrCoRh

A relaxed AcPrCoRh crystal (PBE, Alexandria).

Cell: 5.111 5.111 5.111 Å, 60.00 60.00 60.00°
Sites, in units of the cell vectors:
Ac 0.000 0.000 0.000
Pr 0.500 0.500 0.500
Co 0.250 0.250 0.250
Rh 0.750 0.750 0.750

Summary:
Spin magnetization (μB/f.u.): 0.61
Volume (Å³ per atom): 23.61
Calculated formation energy (eV/atom): -0.19
N(E_F) (states/eV/cell): 2.97


# 4
# TaPt2N

A relaxed TaPt2N crystal (PBE, Alexandria).

Cell: 5.979 5.979 5.979 Å, 124.06 124.06 83.09°
Sites, in units of the cell vectors:
Ta 0.000 0.000 0.000
Ta 0.750 0.250 0.500
Pt 0.191 0.625 0.066
Pt 0.375 0.441 0.566
Pt 0.559 0.125 0.934
Pt 0.875 0.809 0.434
N 0.250 0.750 0.500
N 0.500 0.500 0.000

Summary:
Spin magnetization (μB/f.u.): 0.00
Volume (Å³ per atom): 17.59
Raw formation energy (eV/atom): 0.4906
N(E_F) (states/eV/cell): 0.14


# 5
# CoCuSi2

A relaxed CoCuSi2 crystal (PBE, Alexandria).

Cell: 4.531 4.489 3.532 Å, 67.58 66.32 46.10°
Sites, in units of the cell vectors:
Co 0.000 0.000 0.000
Cu 0.250 0.250 0.250
Si 0.500 0.500 0.500
Si 0.750 0.750 0.750

Summary:
Spin magnetization (μB/f.u.): 0.00
Volume (Å³ per atom): 11.71
Raw formation energy (eV/atom): -0.0659
N(E_F) (states/eV/cell): 2.46


# 6
# YPaO6

A relaxed YPaO6 crystal (PBE, Alexandria).

Cell: 6.011 6.011 6.011 Å, 60.00 60.00 60.00°
Sites, in units of the cell vectors:
Y 0.000 0.000 0.000
Pa 0.500 0.500 0.500
O 0.264 0.264 0.736
O 0.264 0.736 0.264
O 0.264 0.736 0.736
O 0.736 0.264 0.264
O 0.736 0.264 0.736
O 0.736 0.736 0.264

Summary:
Spin magnetization (μB/f.u.): 0.00
Volume (Å³ per atom): 19.20
Raw formation energy (eV/atom): -2.0364
N(E_F) (states/eV/cell): 7.97


# 7
# Co2AsRh2

A relaxed Co2AsRh2 crystal (PBE, Alexandria).

Cell: 5.892 5.892 3.910 Å, 90.00 90.00 90.00°
Sites, in units of the cell vectors:
Co 0.136 0.364 0.000
Co 0.364 0.864 0.000
Co 0.636 0.136 0.000
Co 0.864 0.636 0.000
As 0.000 0.000 0.000
As 0.500 0.500 0.000
Rh 0.160 0.660 0.500
Rh 0.340 0.160 0.500
Rh 0.660 0.840 0.500
Rh 0.840 0.340 0.500

Summary:
Spin magnetization (μB/f.u.): 3.58
Volume (Å³ per atom): 13.58
Calculated formation energy (eV/atom): 0.09
N(E_F) (states/eV/cell): 9.00


# 8
# Cr3W

A relaxed Cr3W crystal (PBE, Alexandria).

Cell: 4.176 4.176 2.972 Å, 90.00 90.00 90.00°
Sites, in units of the cell vectors:
Cr 0.000 0.000 0.000
Cr 0.000 0.500 0.500
Cr 0.500 0.000 0.500
W 0.500 0.500 0.000

Summary:
Spin magnetization (μB/f.u.): 0.10
Volume (Å³ per atom): 12.96
Calculated formation energy (eV/atom): 0.06
N(E_F) (states/eV/cell): 2.27


# 9
# LiMg2ScS4

A relaxed LiMg2ScS4 crystal (PBE, Alexandria).

Cell: 6.348 3.714 6.363 Å, 90.00 108.39 90.00°
Sites, in units of the cell vectors:
Li 0.000 0.000 0.000
Mg 0.500 0.000 0.500
Mg 0.500 0.500 0.000
Sc 0.000 0.500 0.500
S 0.246 0.000 0.748
S 0.255 0.500 0.257
S 0.745 0.500 0.743
S 0.754 0.000 0.252

Summary:
Spin magnetization (μB/f.u.): 0.00
Volume (Å³ per atom): 17.80
Raw formation energy (eV/atom): -1.5694


# 10
# Tm4AlTe2Se

A relaxed Tm4AlTe2Se crystal (PBE, Alexandria).

Cell: 7.339 4.099 7.467 Å, 90.00 108.41 90.00°
Sites, in units of the cell vectors:
Tm 0.240 0.000 0.229
Tm 0.253 0.500 0.778
Tm 0.747 0.500 0.222
Tm 0.760 0.000 0.771
Al 0.000 0.500 0.000
Te 0.000 0.000 0.500
Te 0.500 0.500 0.500
Se 0.500 0.000 0.000

Summary:
Spin magnetization (μB/f.u.): 0.00
Volume (Å³ per atom): 26.64
Raw formation energy (eV/atom): -1.1032
N(E_F) (states/eV/cell): 2.76


# 11
# CaInGaSn

A relaxed CaInGaSn crystal (PBE, Alexandria).

Cell: 4.484 4.638 4.764 Å, 90.00 90.00 90.00°
Sites, in units of the cell vectors:
Ca 0.000 0.000 0.000
In 0.000 0.500 0.500
Ga 0.500 0.500 0.000
Sn 0.500 0.000 0.500

Summary:
Spin magnetization (μB/f.u.): 0.00
Volume (Å³ per atom): 24.77
Calculated formation energy (eV/atom): -0.34
N(E_F) (states/eV/cell): 1.86


# 12
# Tl2CuPt2

A relaxed Tl2CuPt2 crystal (PBE, Alexandria).

Cell: 6.824 6.824 6.824 Å, 143.50 143.50 52.57°
Sites, in units of the cell vectors:
Tl 0.250 0.750 0.500
Tl 0.750 0.250 0.500
Cu 0.000 0.000 0.000
Pt 0.397 0.397 0.000
Pt 0.603 0.603 0.000

Summary:
Spin magnetization (μB/f.u.): 0.00
Volume (Å³ per atom): 22.35
Calculated formation energy (eV/atom): 0.46
N(E_F) (states/eV/cell): 2.38